# 1
# CaTm4Mg5 PBE relaxed
# - V: 27.307 A^3/atom
# - Energy of formation from the pure elements: -0.63 eV/f.u.
data_CaTm4Mg5
_chemical_formula_sum 'Ca1 Tm4 Mg5'
_cell_length_a 3.7812
_cell_length_b 3.7812
_cell_length_c 19.0991
_cell_angle_alpha 90.00
_cell_angle_beta 90.00
_cell_angle_gamma 90.00
_space_group_name_H-M_alt 'P 1'
_space_group_IT_number 1
_space_group_name_Hall 'P 1'
loop_
_atom_site_label
_atom_site_fract_x
_atom_site_fract_y
_atom_site_fract_z
Ca1 0.0000 0.0000 0.0000
Tm1 0.0000 0.0000 0.2108
Tm2 0.0000 0.0000 0.4032
Tm3 0.0000 0.0000 0.5968
Tm4 0.0000 0.0000 0.7892
Mg1 0.5000 0.5000 0.1118
Mg2 0.5000 0.5000 0.3065
Mg3 0.5000 0.5000 0.5000
Mg4 0.5000 0.5000 0.6935
Mg5 0.5000 0.5000 0.8882

***

# 2
# CaTm3Mg4 PBE relaxed
# - V: 27.435 A^3/atom
# - Energy of formation from the pure elements: -0.45 eV/f.u.
data_CaTm3Mg4
_chemical_formula_sum 'Ca1 Tm3 Mg4'
_cell_length_a 3.7525
_cell_length_b 5.4066
_cell_length_c 10.8182
_cell_angle_alpha 90.00
_cell_angle_beta 90.00
_cell_angle_gamma 90.00
_space_group_name_H-M_alt 'P 1'
_space_group_IT_number 1
_space_group_name_Hall 'P 1'
loop_
_atom_site_label
_atom_site_fract_x
_atom_site_fract_y
_atom_site_fract_z
Ca1 0.5000 0.5000 0.0000
Tm1 0.5000 0.0000 0.2555
Tm2 0.5000 0.5000 0.5000
Tm3 0.5000 0.0000 0.7445
Mg1 0.0000 0.0000 0.5000
Mg2 0.0000 0.5000 0.7439
Mg3 0.0000 0.0000 0.0000
Mg4 0.0000 0.5000 0.2561

***

# 3
# Ca5TmMg6 PBE relaxed
# - V: 30.244 A^3/atom
# - Energy of formation from the pure elements: -0.84 eV/f.u.
data_Ca5TmMg6
_chemical_formula_sum 'Ca5 Tm1 Mg6'
_cell_length_a 5.5891
_cell_length_b 7.7643
_cell_length_c 9.6147
_cell_angle_alpha 66.17
_cell_angle_beta 73.56
_cell_angle_gamma 89.99
_space_group_name_H-M_alt 'P 1'
_space_group_IT_number 1
_space_group_name_Hall 'P 1'
loop_
_atom_site_label
_atom_site_fract_x
_atom_site_fract_y
_atom_site_fract_z
Ca1 0.6694 0.1680 0.6641
Ca2 0.3340 0.3350 0.3299
Ca3 0.0000 0.5000 0.0000
Ca4 0.6660 0.6650 0.6701
Ca5 0.3306 0.8320 0.3359
Tm1 0.0000 0.0000 0.0000
Mg1 0.8353 0.5951 0.3259
Mg2 0.8352 0.0788 0.3260
Mg3 0.5001 0.7659 0.9998
Mg4 0.4999 0.2341 0.0002
Mg5 0.1648 0.9212 0.6740
Mg6 0.1647 0.4049 0.6741

***

It is found that the total magnetic moment values, taken in the order of the records, are 0.00; 0.00; 0.00 μB/f.u..
It is found that the E_tot values, taken in the order of the records, are -2.85; -2.78; -2.07 eV/atom.